The following is a GGA-PBE calculation of AlInH3 after structural relaxation, from Alexandria via LeMat-Bulk.

```
5
Lattice="4.037 0.000 0.000 0.000 4.037 0.000 0.000 0.000 4.037" Properties=species:S:1:pos:R:3 pbc="T T T"
Al 2.018 2.018 2.018
H 2.018 0.000 0.000
H 0.000 0.000 2.018
H 0.000 2.018 0.000
In 0.000 0.000 0.000
```

The value obtained for the density of states at the Fermi level is 0.218 states/eV per atom. The energy relative to the lowest polymorph listed for this composition comes out at 0.302 eV/atom. The value obtained for the raw total energy is -13.64 eV for the cell shown. The total moment is 0.0 μB per formula unit.

The following is a GGA-PBE calculation of La2AlInH after structural relaxation, from Alexandria via LeMat-Bulk.

```
5
Lattice="-3.350 -3.116 1.851 3.058 -1.076 3.722 -1.860 3.509 2.542" Properties=species:S:1:pos:R:3 pbc="T T T"
In -0.930 1.755 1.271
La 1.529 -0.538 1.861
La -1.675 -1.558 0.925
H 0.000 0.000 0.000
Al -1.076 -0.342 4.058
```

The value obtained for the density of states at the Fermi level is 0.744 states/eV per atom. The energy relative to the lowest polymorph listed for this composition comes out at 0.031 eV/atom. The value obtained for the raw total energy is -21.39 eV for the cell shown. The total moment is 0.0 μB per formula unit.

The following is a GGA-PBE calculation of La2AlInH after structural relaxation, from Alexandria via LeMat-Bulk.

```
5
Lattice="-0.534 -3.753 3.378 3.224 -2.867 -2.676 3.412 1.636 2.357" Properties=species:S:1:pos:R:3 pbc="T T T"
La 1.612 -1.434 -1.338
La -0.267 -1.877 1.689
In 3.051 -2.492 1.529
Al 1.706 0.818 1.178
H 0.000 0.000 0.000
```

The value obtained for the density of states at the Fermi level is 0.769 states/eV per atom. The energy relative to the lowest polymorph listed for this composition comes out at 0.000 eV/atom. The value obtained for the raw total energy is -21.54 eV for the cell shown. The total moment is 0.0 μB per formula unit.

The following is a GGA-PBE calculation of Li2AlInH after structural relaxation, from Alexandria via LeMat-Bulk.

```
5
Lattice="-0.452 1.778 -3.893 0.491 -3.867 -1.824 -3.879 -0.580 0.185" Properties=species:S:1:pos:R:3 pbc="T T T"
Li -0.226 0.889 -1.947
Li 0.246 -1.934 -0.912
H 0.000 0.000 0.000
Al -1.940 -0.290 0.093
In -1.920 -1.335 -2.766
```

The value obtained for the density of states at the Fermi level is 0.344 states/eV per atom. The energy relative to the lowest polymorph listed for this composition comes out at 0.000 eV/atom. The value obtained for the raw total energy is -14.30 eV for the cell shown. The total moment is 0.0 μB per formula unit.

The following is a GGA-PBE calculation of Li2AlInH after structural relaxation, from Alexandria via LeMat-Bulk.

```
5
Lattice="4.102 0.000 0.000 0.000 4.102 0.000 0.000 0.000 4.579" Properties=species:S:1:pos:R:3 pbc="T T T"
H 0.000 0.000 0.000
Li 0.000 2.051 0.000
Li 2.051 0.000 0.000
In 0.000 0.000 2.290
Al 2.051 2.051 2.290
```

The value obtained for the density of states at the Fermi level is 0.297 states/eV per atom. The energy relative to the lowest polymorph listed for this composition comes out at 0.078 eV/atom. The value obtained for the raw total energy is -13.91 eV for the cell shown. The total moment is 0.0 μB per formula unit.

The following is a GGA-PBE calculation of Mg2AlInH after structural relaxation, from Alexandria via LeMat-Bulk.

```
5
Lattice="-0.901 -4.269 3.203 5.127 -1.357 -0.366 1.111 3.027 4.347" Properties=species:S:1:pos:R:3 pbc="T T T"
H 2.669 -1.299 3.592
Mg -0.450 -2.134 1.602
Mg 0.556 1.514 2.173
Al 2.564 -0.678 -0.183
In 0.000 0.000 0.000
```

The value obtained for the density of states at the Fermi level is 0.283 states/eV per atom. The energy relative to the lowest polymorph listed for this composition comes out at 0.757 eV/atom. The value obtained for the raw total energy is -8.98 eV for the cell shown. The total moment is 0.0 μB per formula unit.

The following is a GGA-PBE calculation of Mg2AlInH after structural relaxation, from Alexandria via LeMat-Bulk.

```
5
Lattice="-3.892 1.842 -0.632 -1.946 -3.635 1.390 0.063 1.584 4.230" Properties=species:S:1:pos:R:3 pbc="T T T"
Mg -1.946 0.921 -0.316
Mg -0.973 -1.818 0.695
Al 0.031 0.792 2.115
H 0.000 0.000 0.000
In -2.888 -0.105 2.494
```

The value obtained for the density of states at the Fermi level is 0.226 states/eV per atom. The energy relative to the lowest polymorph listed for this composition comes out at 0.000 eV/atom. The value obtained for the raw total energy is -12.77 eV for the cell shown. The total moment is 0.0 μB per formula unit.

The following is a GGA-PBE calculation of Al2InPH after structural relaxation, from Alexandria via LeMat-Bulk.

```
5
Lattice="5.139 0.000 0.000 0.000 3.166 0.000 0.000 0.000 5.139" Properties=species:S:1:pos:R:3 pbc="T T T"
In 2.569 1.583 2.569
P 0.000 0.000 0.000
Al 2.569 0.000 0.000
Al 0.000 0.000 2.569
H 0.000 1.583 0.000
```

The value obtained for the density of states at the Fermi level is 0.329 states/eV per atom. The value obtained for the raw total energy is -18.12 eV for the cell shown. The total moment is 0.0 μB per formula unit.

The following is a GGA-PBE calculation of Al2InHRu after structural relaxation, from Alexandria via LeMat-Bulk.

```
5
Lattice="-3.384 2.050 0.145 -1.906 -3.291 2.049 1.083 1.541 3.482" Properties=species:S:1:pos:R:3 pbc="T T T"
H 0.000 0.000 0.000
Ru -2.103 0.150 2.838
Al 0.542 0.770 1.741
Al -1.692 1.025 0.073
In -0.953 -1.646 1.024
```

The value obtained for the density of states at the Fermi level is 0.249 states/eV per atom. The value obtained for the raw total energy is -22.08 eV for the cell shown. The total moment is 0.0 μB per formula unit.

The following is a GGA-PBE calculation of AlInH6Ru2 after structural relaxation, from Alexandria via LeMat-Bulk.

```
20
Lattice="6.543 -0.633 0.189 -1.429 6.416 0.189 -1.195 -1.351 4.491" Properties=species:S:1:pos:R:3 pbc="T T T"
H 2.073 -0.974 2.857
H -0.623 2.614 0.611
H 3.030 1.687 2.852
H 1.400 1.357 1.038
H 0.577 0.880 3.283
H 1.846 5.406 2.014
H 3.342 3.552 1.587
H 2.018 0.543 4.263
H 0.889 2.745 2.018
H 4.542 1.818 4.259
H 1.901 3.890 0.607
H 2.519 3.076 3.832
In 4.828 -0.922 3.558
In -0.909 5.354 1.312
Ru -0.219 1.548 1.763
Ru 4.138 2.884 3.108
Ru 0.966 -0.703 4.008
Ru 2.953 5.136 0.862
Al 3.874 1.125 1.312
Al 0.045 3.307 3.558
```

The value obtained for the density of states at the Fermi level is 0.004 states/eV per atom. The value obtained for the raw total energy is -91.29 eV for the cell shown. The total moment is 0.0 μB per formula unit.

The following is a GGA-PBE calculation of AlInH2S4 after structural relaxation, from Alexandria via LeMat-Bulk.

```
8
Lattice="5.161 0.482 0.000 0.052 5.183 0.000 -2.607 -2.833 6.065" Properties=species:S:1:pos:R:3 pbc="T T T"
S 1.224 1.330 4.234
S -1.224 -1.330 4.234
S 3.782 1.751 1.205
S 1.432 3.914 1.205
H 2.581 0.241 3.903
H 0.026 2.592 3.903
In 2.607 2.833 5.841
Al 0.000 0.000 5.803
```

The value obtained for the density of states at the Fermi level is 0.165 states/eV per atom. The value obtained for the raw total energy is -32.22 eV for the cell shown. The total moment is 0.0 μB per formula unit.

The following is a GGA-PBE calculation of AlInSb2H after structural relaxation, from Alexandria via LeMat-Bulk.

```
5
Lattice="-2.237 5.082 -1.259 -3.271 -0.288 4.651 2.413 1.506 1.790" Properties=species:S:1:pos:R:3 pbc="T T T"
In -1.548 3.150 2.591
Sb -1.119 2.541 -0.629
Sb -1.636 -0.144 2.325
Al 0.000 0.000 0.000
H 1.206 0.753 0.895
```

The value obtained for the density of states at the Fermi level is 0.458 states/eV per atom. The value obtained for the raw total energy is -17.67 eV for the cell shown. The total moment is 0.0 μB per formula unit.